DFT (PBE) results for a geometry-optimized Hg2PtCl structure.

abc: 4.818 4.818 4.818
angles: 109.05 109.05 110.33
Element x y z (fractional)
Hg 0.250 0.750 0.500
Hg 0.750 0.250 0.500
Pt 0.000 0.000 0.000
Cl 0.500 0.500 0.000

## Properties
- Total magnetization: 0.000 μB per atom
- Energy relative to the elements, uncorrected: 258 meV/atom
- Energy above the most stable polymorph in this dataset: 0.3160 eV/atom